5
Lattice="-4.0543 2.5289 2.2096 -3.1322 -4.0969 -1.0582 1.2112 -2.1296 4.6597" Properties=species:S:1:pos:R:3 comment="TaAl3Br PBE relaxed" e_above_lowest_polymorph_ev_per_atom=0.000 total_magnetization_mub_per_fu=3.6 formation_energy_uncorrected_mev_per_atom=877 pbc="T T T"
Al 0.6056 -1.0648 2.3298
Al -1.5661 -2.0485 -0.5291
Al -2.0272 1.2644 1.1048
Br -2.9876 -1.8488 2.9055
Ta 0.0000 0.0000 0.0000

4
Lattice="-1.7592 -5.1181 0.2493 -5.1860 -1.1374 -1.0783 -1.3053 -2.6402 -4.5472" Properties=species:S:1:pos:R:3 comment="NaCaSb2 PBE relaxed" e_above_lowest_polymorph_ev_per_atom=0.101 total_magnetization_mub_per_fu=0.0 formation_energy_uncorrected_mev_per_atom=-484 pbc="T T T"
Na 0.0000 0.0000 0.0000
Sb -2.0626 -2.2239 -1.3441
Sb -6.1879 -6.6718 -4.0322
Ca -4.1252 -4.4479 -2.6881

4
Lattice="3.4994 0.0000 0.0000 0.0000 3.4994 0.0000 0.0000 0.0000 9.9587" Properties=species:S:1:pos:R:3 comment="SmEr2Pu PBE relaxed" e_above_lowest_polymorph_ev_per_atom=0.000 total_magnetization_mub_per_fu=6.4 delta_e_f_ev_per_atom=0.10 pbc="T T T"
Er 0.0000 0.0000 7.5531
Er 0.0000 0.0000 2.4056
Sm 1.7497 1.7497 4.9794
Pu 1.7497 1.7497 0.0000

4
Lattice="-0.6827 0.8290 -3.4087 1.9959 -2.7641 -1.0719 -7.4779 -5.4651 0.1686" Properties=species:S:1:pos:R:3 comment="Tb2HoIn PBE relaxed" e_above_lowest_polymorph_ev_per_atom=0.042 total_magnetization_mub_per_fu=0.0 delta_e_f_ev_per_atom=-0.23 pbc="T T T"
Tb -5.7709 -4.2175 0.1301
Tb -1.7070 -1.2475 0.0385
In 0.6566 -0.9675 -2.2403
Ho -3.0824 -3.7001 -2.1560

6
Lattice="-4.1596 -3.0751 -4.0957 1.8207 -1.2641 -6.2145 1.2113 -6.2058 -1.8853" Properties=species:S:1:pos:R:3 comment="AcZnBi4 PBE relaxed" total_magnetization_mub_per_fu=0.0 delta_e_f_ev_per_atom=-0.10 pbc="T T T"
Bi -0.7066 -6.6070 -7.6412
Bi -1.6282 -5.9671 -4.4952
Bi 1.3992 -5.0503 -5.5678
Bi -1.3197 -3.4655 -6.6868
Ac -0.2819 -2.6362 -3.0489
Zn 0.0000 0.0000 0.0000

5
Lattice="4.4243 0.0000 0.0000 0.0000 4.4243 0.0000 0.0000 0.0000 4.4243" Properties=species:S:1:pos:R:3 comment="Ga3CoRu PBE relaxed" e_above_lowest_polymorph_ev_per_atom=0.000 total_magnetization_mub_per_fu=1.6 delta_e_f_ev_per_atom=0.47 pbc="T T T"
Ga 2.2122 0.0000 0.0000
Ga 0.0000 0.0000 2.2122
Ga 0.0000 2.2122 0.0000
Ru 2.2122 2.2122 2.2122
Co 0.0000 0.0000 0.0000

5
Lattice="5.2935 0.0000 0.0000 0.0000 5.2935 0.0000 0.0000 0.0000 5.2935" Properties=species:S:1:pos:R:3 comment="BaIr3I PBE relaxed" e_above_lowest_polymorph_ev_per_atom=1.593 total_magnetization_mub_per_fu=3.6 formation_energy_uncorrected_mev_per_atom=2732 pbc="T T T"
Ir 0.0000 0.0000 2.6468
Ir 0.0000 2.6468 0.0000
Ir 2.6468 0.0000 0.0000
I 2.6468 2.6468 2.6468
Ba 0.0000 0.0000 0.0000

4
Lattice="6.7820 0.0154 0.0000 3.6910 5.6897 0.0000 -5.2365 -2.8525 3.2308" Properties=species:S:1:pos:R:3 comment="La2InBr PBE relaxed" e_above_lowest_polymorph_ev_per_atom=0.311 total_magnetization_mub_per_fu=0.3 formation_energy_uncorrected_mev_per_atom=-572 pbc="T T T"
La 0.0000 0.0000 0.0000
La 1.8455 2.8449 1.6154
Br 5.2365 2.8525 0.0000
In 3.3910 0.0077 1.6154

4
Lattice="-1.7367 -2.0811 2.6782 -0.8624 -3.6482 -0.6833 10.3934 -5.4270 5.2333" Properties=species:S:1:pos:R:3 comment="Ac2ErI PBE relaxed" e_above_lowest_polymorph_ev_per_atom=0.254 total_magnetization_mub_per_fu=0.0 formation_energy_uncorrected_mev_per_atom=-112 pbc="T T T"
Ac 7.2215 -4.4362 3.9464
Ac 0.5729 -6.7201 3.2819
Er 0.0000 0.0000 0.0000
I 3.8972 -5.5782 3.6141

4
Lattice="-0.5689 -1.8877 -3.6283 2.8252 -2.6505 -1.4301 -2.3565 -6.3866 1.4223" Properties=species:S:1:pos:R:3 comment="In2NiSb PBE relaxed" total_magnetization_mub_per_fu=0.0 formation_energy_uncorrected_mev_per_atom=-12 pbc="T T T"
Sb 0.2154 -7.7472 -3.0209
Ni -0.1235 -5.5783 -1.7451
In -2.3480 -6.3681 1.4157
In -0.2508 -3.0803 -0.6817

7
Lattice="6.3632 0.0000 0.0000 3.1816 5.8761 0.0000 3.1816 0.0000 5.8761" Properties=species:S:1:pos:R:3 comment="BaMg2Pb4 PBE relaxed" total_magnetization_mub_per_fu=0.0 delta_e_f_ev_per_atom=-0.22 pbc="T T T"
Mg 4.7724 2.9381 2.9381
Mg 7.9540 2.9381 2.9381
Pb 3.1816 0.0000 2.3055
Pb 6.3632 0.0000 3.5706
Pb 6.3632 3.5706 0.0000
Pb 3.1816 2.3055 0.0000
Ba 0.0000 0.0000 0.0000

10
Lattice="6.6756 0.0000 0.0000 0.0000 6.6756 0.0000 0.0000 0.0000 2.4541" Properties=species:S:1:pos:R:3 comment="Mn2FeCo2 PBE relaxed" total_magnetization_mub_per_fu=0.0 delta_e_f_ev_per_atom=0.37 pbc="T T T"
Mn 0.8064 2.5314 0.0000
Mn 2.5314 5.8692 0.0000
Mn 5.8692 4.1442 0.0000
Mn 4.1442 0.8064 0.0000
Fe 3.3378 3.3378 0.0000
Fe 0.0000 0.0000 0.0000
Co 5.5088 2.1710 1.2271
Co 4.5045 5.5088 1.2271
Co 1.1667 4.5045 1.2271
Co 2.1710 1.1667 1.2271

14
Lattice="4.9623 0.0000 0.0000 2.4811 9.0364 0.3607 2.4811 2.8073 8.5969" Properties=species:S:1:pos:R:3 comment="Ba3Bi3Au8 PBE relaxed" e_above_lowest_polymorph_ev_per_atom=0.016 total_magnetization_mub_per_fu=0.0 delta_e_f_ev_per_atom=-0.49 pbc="T T T"
Bi 2.4811 4.1826 6.7785
Bi 2.4811 7.6612 2.1791
Bi 2.4811 0.0000 0.0000
Au 2.4811 4.7569 1.8353
Au 4.9623 2.5032 5.4794
Au 4.9623 5.8898 8.0408
Au 2.4811 3.0611 4.0775
Au 4.9623 5.9539 0.9168
Au 7.4434 8.7827 4.8801
Au 4.9623 9.3406 3.4782
Au 7.4434 7.0869 7.1223
Ba 4.9623 5.9219 4.4788
Ba 4.9623 9.4388 7.1387
Ba 4.9623 2.4050 1.8189

12
Lattice="8.6532 -0.0063 0.0004 -4.3300 7.4920 0.0004 -1.4423 -2.4974 8.0889" Properties=species:S:1:pos:R:3 comment="Cs3TlIn2Br6 PBE relaxed" total_magnetization_mub_per_fu=0.0 formation_energy_uncorrected_mev_per_atom=-1241 pbc="T T T"
Br 2.8985 -0.0026 1.8272
Br 4.3317 2.4790 6.2624
Br -0.0176 4.9909 6.2624
Br -1.4508 2.5092 1.8272
Br 2.8751 4.9782 1.8303
Br 0.0058 0.0100 6.2594
In -0.0004 4.9914 0.0004
In 4.3236 2.4942 0.0004
Cs 1.4404 2.4941 4.0448
Cs 5.7692 -0.0059 4.0448
Cs -2.8883 4.9942 4.0448
Tl 0.0000 0.0000 0.0000

5
Lattice="-1.0190 -0.8105 3.9713 3.6353 -1.9937 0.5259 1.7925 3.5826 1.1911" Properties=species:S:1:pos:R:3 comment="NbCo3Cu PBE relaxed" e_above_lowest_polymorph_ev_per_atom=0.000 total_magnetization_mub_per_fu=0.9 delta_e_f_ev_per_atom=1.17 pbc="T T T"
Co 1.8176 -0.9969 0.2629
Co 0.8963 1.7913 0.5956
Co -0.5095 -0.4053 1.9857
Cu 0.0000 0.0000 0.0000
Nb 2.2044 0.3892 2.8442

16
Lattice="5.8790 0.0000 0.0000 0.0000 7.6886 -0.9151 0.0000 -1.8964 15.4340" Properties=species:S:1:pos:R:3 comment="SbTeCl2 PBE relaxed" e_above_lowest_polymorph_ev_per_atom=0.000 total_magnetization_mub_per_fu=0.0 formation_energy_uncorrected_mev_per_atom=-530 pbc="T T T"
Cl 1.3861 4.8875 -0.5692
Cl 2.1811 0.3326 1.7388
Cl 4.3256 5.6972 6.9135
Cl 4.4930 0.9047 15.0880
Cl 1.5535 0.0950 7.6053
Cl 5.1206 2.5635 5.5207
Cl 3.6980 5.4596 12.7801
Cl 0.7584 3.2287 8.9982
Sb 2.5832 -0.1084 14.0112
Sb 0.3563 4.6841 5.8366
Sb 5.5228 1.1081 8.6822
Sb 3.2958 5.9006 0.5076
Te 2.9960 0.9372 11.4255
Te 0.0565 0.0625 11.2678
Te 5.8225 5.7297 3.2510
Te 2.8830 4.8550 3.0933

18
Lattice="4.4278 9.0927 -0.5508 -4.4278 9.0927 -0.5508 0.0000 3.0811 6.2911" Properties=species:S:1:pos:R:3 comment="YEr5Sc3 PBE relaxed" e_above_lowest_polymorph_ev_per_atom=0.000 total_magnetization_mub_per_fu=0.0 delta_e_f_ev_per_atom=0.17 pbc="T T T"
Er 1.6000 6.6075 0.6877
Er 1.6000 13.1185 1.3563
Er 1.8668 9.8630 1.0220
Er -1.6001 6.5910 0.6523
Er -1.8668 11.4035 4.1675
Er 1.6001 8.1316 3.7978
Er 1.6001 14.6755 4.5372
Er -1.6000 8.1481 3.8332
Er -1.6000 14.6590 4.5018
Er -1.6001 13.1350 1.3916
Sc -0.0133 4.9981 3.4026
Sc 0.0000 1.5406 3.1455
Sc 0.0133 3.4575 0.2570
Sc 0.0133 16.2685 1.7869
Sc 0.0000 0.0000 0.0000
Sc -0.0133 17.8090 4.9324
Y -1.4523 9.8630 1.0220
Y 1.4523 11.4035 4.1675

6
Lattice="-1.1560 2.5443 -0.5231 -2.8337 -1.9212 -3.0556 -6.1903 1.1625 4.9999" Properties=species:S:1:pos:R:3 comment="TaTi4Cu PBE relaxed" total_magnetization_mub_per_fu=0.0 delta_e_f_ev_per_atom=0.07 pbc="T T T"
Ti -5.6110 2.0005 3.9334
Ti -1.6950 1.8676 0.3861
Ti -4.4643 1.4828 -0.2480
Ti -5.8351 0.1412 1.8642
Ta -3.0888 0.6903 2.4183
Cu -1.9947 0.1596 -1.7049

4
Lattice="3.2915 0.0000 0.0000 0.0000 3.2915 0.0000 0.0000 0.0000 7.3430" Properties=species:S:1:pos:R:3 comment="CeScPt2 PBE relaxed" total_magnetization_mub_per_fu=0.4 delta_e_f_ev_per_atom=-1.11 pbc="T T T"
Pt 0.0000 0.0000 5.7523
Pt 0.0000 0.0000 1.5906
Ce 1.6458 1.6458 3.6715
Sc 1.6458 1.6458 0.0000

8
Lattice="-2.2444 -7.3534 0.6827 6.1411 -2.2547 -4.0963 3.6508 -5.0730 0.9935" Properties=species:S:1:pos:R:3 comment="AsPBr2 PBE relaxed" e_above_lowest_polymorph_ev_per_atom=0.886 total_magnetization_mub_per_fu=0.0 formation_energy_uncorrected_mev_per_atom=723 pbc="T T T"
P 1.9484 -4.8041 -1.7068
P 5.8702 -6.0659 -2.4048
Br 0.2984 -6.0778 0.1567
Br 4.4496 -3.6648 -2.2201
Br 4.2563 -7.4287 -0.5729
Br 6.0908 -12.1910 -2.2037
As 0.0000 0.0000 0.0000
As 1.6774 -8.6153 -0.0153

18
Lattice="7.5830 0.0000 0.0000 -3.7915 6.5671 0.0000 0.0000 0.0000 13.2497" Properties=species:S:1:pos:R:3 comment="ThTlGaCl6 PBE relaxed" total_magnetization_mub_per_fu=0.0 formation_energy_uncorrected_mev_per_atom=-1620 pbc="T T T"
Cl 2.2326 4.2934 8.4203
Cl -1.1897 2.4869 8.4203
Cl -1.0429 6.3539 8.4203
Cl 2.7486 0.2132 1.7955
Cl -2.2326 4.2934 11.4542
Cl 6.0241 2.2737 1.7955
Cl 4.8345 0.2132 4.8294
Cl 1.1897 2.4869 11.4542
Cl 1.5589 2.2737 4.8294
Cl 1.0429 6.3539 11.4542
Cl 4.9812 4.0802 4.8294
Cl 2.6019 4.0802 1.7955
Th 0.0000 4.3781 9.9373
Th 3.7915 2.1890 3.3124
Tl 0.0000 0.0000 6.6248
Tl 0.0000 0.0000 0.0000
Ga 0.0000 4.3781 3.3124
Ga 3.7915 2.1890 9.9373

5
Lattice="4.6938 0.0000 0.0000 0.0000 5.5576 0.0000 0.0000 0.0000 4.6938" Properties=species:S:1:pos:R:3 comment="TaSnP2F PBE relaxed" total_magnetization_mub_per_fu=0.0 formation_energy_uncorrected_mev_per_atom=-97 pbc="T T T"
P 0.0000 0.0000 2.3469
P 2.3469 0.0000 0.0000
F 2.3469 2.7788 2.3469
Ta 0.0000 0.0000 0.0000
Sn 0.0000 2.7788 0.0000

4
Lattice="3.0017 0.0000 0.0000 0.0000 3.0017 0.0000 0.0000 0.0000 7.7528" Properties=species:S:1:pos:R:3 comment="YZrBe2 PBE relaxed" e_above_lowest_polymorph_ev_per_atom=0.205 total_magnetization_mub_per_fu=0.0 delta_e_f_ev_per_atom=0.21 pbc="T T T"
Be 0.0000 0.0000 0.4114
Be 1.5009 1.5009 1.3776
Y 0.0000 0.0000 3.5415
Zr 1.5009 1.5009 6.2987

5
Lattice="5.6912 0.0000 0.0000 0.0000 5.6912 0.0000 0.0000 0.0000 5.9229" Properties=species:S:1:pos:R:3 comment="CsRb2PbF PBE relaxed" total_magnetization_mub_per_fu=1.8 formation_energy_uncorrected_mev_per_atom=-1021 pbc="T T T"
Pb 2.8456 2.8456 2.9614
F 0.0000 0.0000 0.0000
Rb 2.8456 0.0000 0.0000
Rb 0.0000 2.8456 0.0000
Cs 0.0000 0.0000 2.9614

4
Lattice="-2.9299 -3.5099 2.3116 -2.9977 1.3509 3.9289 -5.0883 0.1235 -0.5845" Properties=species:S:1:pos:R:3 comment="RbGa2Au PBE relaxed" total_magnetization_mub_per_fu=0.0 delta_e_f_ev_per_atom=0.18 pbc="T T T"
Au -5.5079 -1.0177 2.8280
Ga -8.2619 -1.5266 4.2420
Ga -2.7540 -0.5089 1.4140
Rb 0.0000 0.0000 0.0000

Ordered Fermi-level density of states results: 3.9, 2.3, 10.3, 4.7, 4.1, 4.2, 8.3, 4.9, 6.2, 1.4, 3.5, 19.4, 6.3, 0.0, 6.3, 4.8, 24.4, 8.8, 4.9, 6.0, 0.0, 2.9, 2.7, 2.6, 1.7; unit states/eV/cell.
Ordered density results: 3.89, 4.53, 9.92, 8.39, 9.23, 7.08, 9.41, 6.30, 7.81, 7.04, 7.67, 8.61, 11.41, 4.16, 7.58, 3.09, 6.75, 7.30, 12.01, 4.62, 3.62, 5.16, 4.71, 4.59, 7.37; unit g/cm3.